(1)
DFT (PBE-GGA) results for a relaxed V4Tc crystal.

Structure (POSCAR):
```
V4Tc
1.0
5.060 -0.367 0.000
-2.289 4.527 0.000
-1.385 -2.080 6.268
V Tc
8 2
Direct
0.631 0.631 0.800
0.830 0.830 0.200
0.680 0.180 0.899
0.281 0.781 0.101
0.430 0.430 0.399
0.031 0.031 0.601
0.080 0.580 0.700
0.881 0.381 0.300
0.230 0.230 0.000
0.480 0.980 0.500
```

Summary:
Formation enthalpy at 0 K ... -0.08 eV/f.u.
Energy relative to the lowest polymorph listed for this composition ... 206 meV per atom
Volume ... 138.3 Å³ per cell
ρ ... 7246 kg/m³

(2)
DFT (PBE-GGA) results for a relaxed V13Tc2 crystal.

Structure (POSCAR):
```
V13Tc2
1.0
-0.206 -6.528 1.086
5.433 -3.191 2.034
0.068 -2.161 7.206
V Tc
13 2
Direct
0.500 0.500 0.500
0.388 0.997 0.227
0.388 0.388 0.227
0.997 0.388 0.227
0.003 0.612 0.773
0.612 0.003 0.773
0.612 0.612 0.773
0.256 0.866 0.622
0.256 0.256 0.622
0.866 0.256 0.622
0.134 0.744 0.378
0.744 0.134 0.378
0.744 0.744 0.378
0.369 0.369 0.894
0.631 0.631 0.106
```

Summary:
Formation enthalpy at 0 K ... 9.58 eV/f.u.
Volume ... 246.0 Å³ per cell
ρ ... 5793 kg/m³

(3)
DFT (PBE-GGA) results for a relaxed VTc crystal.

Structure (POSCAR):
```
VTc
1.0
4.265 0.000 0.000
0.000 4.265 0.000
0.000 0.000 6.133
V Tc
4 4
Direct
0.000 0.500 0.243
0.500 0.000 0.757
0.000 0.000 0.500
0.500 0.500 0.500
0.000 0.000 0.000
0.500 0.500 0.000
0.000 0.500 0.730
0.500 0.000 0.270
```

Summary:
Formation enthalpy at 0 K ... -0.46 eV/f.u.
Volume ... 111.6 Å³ per cell
ρ ... 8866 kg/m³

(4)
DFT (PBE-GGA) results for a relaxed VTc3 crystal.

Structure (POSCAR):
```
VTc3
1.0
3.861 0.000 0.000
0.000 3.861 0.000
-1.930 -1.930 3.867
Tc V
3 1
Direct
0.750 0.250 0.500
0.250 0.750 0.500
0.500 0.500 0.000
0.000 0.000 0.000
```

Summary:
Formation enthalpy at 0 K ... 0.22 eV/f.u.
Volume ... 57.6 Å³ per cell
ρ ... 9938 kg/m³